{"formula": "Nd2Dy3ErBi6", "functional": "PBE-GGA", "state": "optimized geometry", "cell": [[9.840, -2.259, 0.000], [9.840, 2.259, 0.000], [-2.066, 0.000, 8.793]], "species": ["Nd", "Nd", "Dy", "Dy", "Dy", "Er", "Bi", "Bi", "Bi", "Bi", "Bi", "Bi"], "frac_coords": [[0.166, 0.166, 0.333], [0.834, 0.834, 0.667], [0.168, 0.168, 0.834], [0.500, 0.500, 0.500], [0.832, 0.832, 0.166], [0.500, 0.500, 0.000], [0.003, 0.003, 0.753], [0.335, 0.335, 0.412], [0.335, 0.335, 0.924], [0.665, 0.665, 0.076], [0.665, 0.665, 0.588], [0.997, 0.997, 0.247]], "crystal_system": "monoclinic", "magnetic_moment_mub_per_cell": 0.00, "final_energy_ev_per_fu": -61.715, "ef_mev_per_atom": -877}

---

{"formula": "CoIr2Pt", "functional": "PBE-GGA", "state": "optimized geometry", "cell": [[4.465, -1.365, 0.000], [4.465, 1.365, 0.000], [-0.839, 0.000, 4.621]], "species": ["Co", "Ir", "Ir", "Pt"], "frac_coords": [[0.000, 0.000, 0.000], [0.254, 0.254, 0.746], [0.506, 0.506, 0.518], [0.751, 0.751, 0.240]], "crystal_system": "monoclinic", "magnetic_moment_mub_per_cell": 1.96, "relative_energy_ev_per_atom": 0.042, "final_energy_ev_per_fu": -30.677, "ef_mev_per_atom": 48}

---

{"formula": "Cs2TmPaS4", "functional": "PBE-GGA", "state": "optimized geometry", "cell": [[7.066, 0.000, 0.000], [0.000, 4.045, 0.000], [-2.314, 0.000, 8.114]], "species": ["Cs", "Cs", "Tm", "Pa", "S", "S", "S", "S"], "frac_coords": [[0.000, 0.000, 0.000], [0.500, 0.500, 0.000], [0.000, 0.500, 0.500], [0.500, 0.000, 0.500], [0.225, 0.000, 0.680], [0.268, 0.500, 0.316], [0.732, 0.500, 0.684], [0.775, 0.000, 0.320]], "crystal_system": "monoclinic", "magnetic_moment_mub_per_cell": 1.81, "final_energy_ev_per_fu": -45.036, "raw_formation_energy_ev_per_atom": -1.606}

---

{"formula": "CrTcSb2", "functional": "PBE-GGA", "state": "optimized geometry", "cell": [[-3.119, 3.119, 5.407], [3.119, -3.119, 5.407], [3.119, 3.119, -5.407]], "species": ["Cr", "Cr", "Tc", "Tc", "Sb", "Sb", "Sb", "Sb"], "frac_coords": [[0.000, 0.000, 0.000], [0.750, 0.250, 0.500], [0.250, 0.750, 0.500], [0.500, 0.500, 0.000], [0.124, 0.625, 0.999], [0.375, 0.374, 0.499], [0.626, 0.125, 0.001], [0.875, 0.876, 0.501]], "crystal_system": "tetragonal", "magnetic_moment_mub_per_cell": 0.68, "relative_energy_ev_per_atom": 0.905, "final_energy_ev_per_fu": -24.105, "raw_formation_energy_ev_per_atom": 1.032}

---

{"formula": "YTm7", "functional": "PBE-GGA", "state": "optimized geometry", "cell": [[-1.748, 5.464, 6.389], [1.748, -5.464, 6.389], [1.748, 5.464, -6.389]], "species": ["Y", "Tm", "Tm", "Tm", "Tm", "Tm", "Tm", "Tm"], "frac_coords": [[0.000, 0.000, 0.000], [0.137, 0.366, 0.771], [0.241, 0.741, 0.500], [0.404, 0.634, 0.771], [0.500, 0.000, 0.500], [0.596, 0.366, 0.229], [0.759, 0.259, 0.500], [0.863, 0.634, 0.229]], "crystal_system": "orthorhombic", "magnetic_moment_mub_per_cell": 0.00, "relative_energy_ev_per_atom": 0.003, "final_energy_ev_per_fu": -37.482, "ef_mev_per_atom": 35}

---

{"formula": "Y2TiRhN", "functional": "PBE-GGA", "state": "optimized geometry", "cell": [[4.837, 0.000, 0.000], [0.000, 4.837, 0.000], [0.000, 0.000, 3.966]], "species": ["Y", "Y", "Ti", "Rh", "N"], "frac_coords": [[0.000, 0.500, 0.000], [0.500, 0.000, 0.000], [0.000, 0.000, 0.500], [0.500, 0.500, 0.500], [0.000, 0.000, 0.000]], "crystal_system": "tetragonal", "magnetic_moment_mub_per_cell": 0.61, "final_energy_ev_per_fu": -40.993, "raw_formation_energy_ev_per_atom": -0.899}

---

{"formula": "TbCeCBr", "functional": "PBE-GGA", "state": "optimized geometry", "cell": [[1.843, 1.064, 7.429], [-1.843, 1.064, 7.429], [0.000, -2.128, 7.429]], "species": ["Tb", "Ce", "C", "Br"], "frac_coords": [[0.000, 0.000, 0.000], [0.212, 0.212, 0.212], [0.608, 0.608, 0.608], [0.432, 0.432, 0.432]], "crystal_system": "trigonal", "magnetic_moment_mub_per_cell": 0.98, "final_energy_ev_per_fu": -25.030, "raw_formation_energy_ev_per_atom": -0.892}

---

{"formula": "LiSm2Er", "functional": "PBE-GGA", "state": "optimized geometry", "cell": [[1.764, 1.018, 11.340], [-1.764, 1.018, 11.340], [0.000, -2.037, 11.340]], "species": ["Li", "Sm", "Sm", "Er"], "frac_coords": [[0.000, 0.000, 0.000], [0.251, 0.251, 0.251], [0.416, 0.416, 0.416], [0.833, 0.833, 0.833]], "crystal_system": "trigonal", "magnetic_moment_mub_per_cell": 0.00, "relative_energy_ev_per_atom": 0.007, "final_energy_ev_per_fu": -15.614, "ef_mev_per_atom": 75}